First-principles (GGA-PBE) data for an optimized crystal structure of Sr2CdP3Pd12, as listed in Alexandria via LeMat-Bulk.

The structure belongs to space group R-3m (No. 166, hexagonal axes); the cell edges are 8.7695, 8.7695 and 15.9385 Å and the angles 90.00°, 90.00° and 120.00°. Symmetry generates all atoms from Sr at (0.0000, 0.0000, 0.1043), Cd at (0.0000, 0.0000, 0.5000), P at (0.0000, 0.5000, 0.0000), Pd at (0.0124, 0.5062, 0.8605) and Pd at (0.0624, 0.5312, 0.3344).

As for the crystal system: trigonal. The value obtained for the density of states at the Fermi level is 15.74 states/eV/cell. Its size of the total moment is 0.0 μB/f.u. The formation enthalpy at 0 K comes out at -335 meV per atom.